VASP calculation (PBE-GGA) on a geometry-optimized TaBe2Pt structure.

Structure (CIF):
```
data_TaBe2Pt
_chemical_formula_sum 'Ta1 Be2 Pt1'
_symmetry_space_group_name_H-M 'P 1'
_symmetry_Int_Tables_number 1
_cell_length_a 2.8272
_cell_length_b 2.8272
_cell_length_c 6.2374
_cell_angle_alpha 90.00
_cell_angle_beta 90.00
_cell_angle_gamma 90.00
loop_
_symmetry_equiv_pos_as_xyz
'x,y,z'
loop_
_atom_site_label
_atom_site_fract_x
_atom_site_fract_y
_atom_site_fract_z
_atom_site_occupancy
Ta1 0.0000 0.0000 0.0000 1
Be1 0.5000 0.5000 0.2822 1
Be2 0.5000 0.5000 0.7178 1
Pt1 0.0000 0.0000 0.5000 1
```

Summary:
E_form (eV/atom): -0.394
Energy above the most stable polymorph in this dataset (meV per atom): 8
VASP energy (eV/cell): -26.92
Magnetization (μB/atom): 0.0000